# NaV3Pb

NaV3Pb after structural relaxation (PBE-GGA, Alexandria via LeMat-Bulk).

Values from the calculation:
**DFT formation energy**: 7.7 eV/f.u.
**Calculated volume**: 29.98 Å³/atom
**Crystal system**: cubic

Unit cell a=5.3121 b=5.3121 c=5.3121 alpha=90.00 beta=90.00 gamma=90.00
With the nearest neighbours (Å) after each atom.
Atoms (fractional coordinates):
V  0.5000  0.0000  0.0000  2 Pb 2.66
V  0.0000  0.5000  0.0000  2 Pb 2.66
V  0.0000  0.0000  0.5000  2 Pb 2.66
Pb  0.0000  0.0000  0.0000  6 V 2.66
Na  0.5000  0.5000  0.5000  12 V 3.76



# Na3VPb

Na3VPb after structural relaxation (PBE-GGA, Alexandria via LeMat-Bulk).

Values from the calculation:
**Polymorph energy (0 for the lowest one)**: 0 meV/atom
**DFT formation energy**: 4.5 eV/f.u.
**Calculated volume**: 39.61 Å³/atom
**Crystal system**: cubic

Unit cell a=5.8290 b=5.8290 c=5.8290 alpha=90.00 beta=90.00 gamma=90.00
With the nearest neighbours (Å) after each atom.
Atoms (fractional coordinates):
Na  0.0000  0.0000  0.5000  2 Pb 2.91
Na  0.5000  0.0000  0.0000  2 Pb 2.91
Na  0.0000  0.5000  0.0000  2 Pb 2.91
V  0.5000  0.5000  0.5000  12 Na 4.12
Pb  0.0000  0.0000  0.0000  6 Na 2.91



# NaV2Pb

NaV2Pb after structural relaxation (PBE-GGA, Alexandria via LeMat-Bulk).

Values from the calculation:
**DFT formation energy**: 4.6 eV/f.u.
**Calculated volume**: 20.31 Å³/atom
**Crystal system**: tetragonal

Unit cell a=7.7217 b=7.7217 c=6.1025 alpha=50.75 beta=50.75 gamma=90.00
With the nearest neighbours (Å) after each atom.
Atoms (fractional coordinates):
Na  0.5000  0.5000  0.0000  2 Pb 2.73, 4 V 2.88
Na  0.2500  0.7500  0.5000  2 Pb 2.73, 4 V 2.88
Pb  0.7500  0.2500  0.5000  2 Na 2.73, 4 V 2.75
Pb  0.0000  0.0000  0.0000  2 Na 2.73, 4 V 2.75
V  0.1132  0.6250  0.2500  2 V 2.73, 2 Pb 2.75, 2 Na 2.88
V  0.8750  0.8868  0.7500  2 V 2.73, 2 Pb 2.75, 2 Na 2.88
V  0.3750  0.3632  0.7500  2 V 2.73, 2 Pb 2.75, 2 Na 2.88
V  0.6368  0.1250  0.2500  2 V 2.73, 2 Pb 2.75, 2 Na 2.88



# NaVPb3

NaVPb3 after structural relaxation (PBE-GGA, Alexandria via LeMat-Bulk).

Values from the calculation:
**DFT formation energy**: 0.9 eV/f.u.
**Calculated volume**: 30.59 Å³/atom
**Crystal system**: cubic

Unit cell a=5.3481 b=5.3481 c=5.3481 alpha=90.00 beta=90.00 gamma=90.00
With the nearest neighbours (Å) after each atom.
Atoms (fractional coordinates):
Pb  0.5000  0.0000  0.0000  2 V 2.67
Pb  0.0000  0.0000  0.5000  2 V 2.67
Pb  0.0000  0.5000  0.0000  2 V 2.67
Na  0.5000  0.5000  0.5000  12 Pb 3.78
V  0.0000  0.0000  0.0000  6 Pb 2.67